(i)
An optimized crystal structure of Zr3V, computed with GGA-PBE.

Total magnetization: 2.0 μB/cell
SG: No. 44

Unit cell a=3.4542 b=4.9099 c=5.7890 alpha=115.09 beta=107.36 gamma=90.00
Site moments in Bohr magnetons follow the coordinates.
Fractional coordinates of all 4 atoms:
Zr 0.2742 0.6904 0.5485  -0.02
Zr 0.5000 0.4168 0.0000  0.04
Zr 0.7258 0.1419 0.4515  -0.02
V 0.0000 0.9175 0.0000  1.66

=====

(ii)
An optimized crystal structure of Zr3V, computed with GGA-PBE.

Total magnetization: 3.0 μB/cell
SG: No. 194

Unit cell a=6.3318 b=6.3318 c=4.8985 alpha=90.00 beta=90.00 gamma=120.00
Site moments in Bohr magnetons follow the coordinates.
Fractional coordinates of all 8 atoms:
Zr 0.1731 0.3462 0.2500  -0.10
Zr 0.6538 0.8269 0.2500  -0.10
Zr 0.1731 0.8269 0.2500  -0.10
Zr 0.8269 0.6538 0.7500  -0.10
Zr 0.3462 0.1731 0.7500  -0.10
Zr 0.8269 0.1731 0.7500  -0.10
V 0.3333 0.6667 0.7500  1.62
V 0.6667 0.3333 0.2500  1.62

=====

(iii)
An optimized crystal structure of Zr3V, computed with GGA-PBE.

Total magnetization: 1.7 μB/cell
SG: No. 139

Unit cell a=4.9165 b=4.9165 c=4.9061 alpha=120.07 beta=120.07 gamma=90.00
Site moments in Bohr magnetons follow the coordinates.
Fractional coordinates of all 4 atoms:
Zr 0.7500 0.2500 0.5000  -0.02
Zr 0.2500 0.7500 0.5000  -0.02
Zr 0.5000 0.5000 0.0000  -0.46
V 0.0000 0.0000 0.0000  1.91

=====

(iv)
An optimized crystal structure of Zr3V, computed with GGA-PBE.

Total magnetization: 0.0 μB/cell
SG: No. 25

Unit cell a=2.9739 b=2.9239 c=9.8328 alpha=90.00 beta=90.00 gamma=90.00
Fractional coordinates of all 4 atoms:
Zr 0.0000 0.5000 0.4738
Zr 0.5000 0.5000 0.1759
Zr 0.5000 0.0000 0.7165
V 0.0000 0.0000 0.9672

=====

Of them, (i) has the highest stability.

=====

(i)
An optimized crystal structure of W, computed with GGA-PBE.

Total magnetization: 0.0 μB/cell
SG: No. 10

Unit cell a=2.6141 b=9.4378 c=18.2872 alpha=87.20 beta=90.00 gamma=90.00
Fractional coordinates of all 25 atoms:
W 0.5000 0.5000 0.0000
W 0.5000 0.9573 0.9211
W 0.5000 0.0427 0.0789
W 0.5000 0.2163 0.3917
W 0.5000 0.7837 0.6083
W 0.5000 0.1395 0.8038
W 0.5000 0.8605 0.1962
W 0.5000 0.8681 0.7650
W 0.5000 0.1319 0.2350
W 0.5000 0.6854 0.8830
W 0.5000 0.3146 0.1170
W 0.5000 0.4911 0.4273
W 0.5000 0.5089 0.5727
W 0.5000 0.6758 0.3111
W 0.5000 0.3242 0.6889
W 0.5000 0.7718 0.0395
W 0.5000 0.2282 0.9605
W 0.5000 0.2379 0.5349
W 0.5000 0.7621 0.4651
W 0.5000 0.0518 0.6476
W 0.5000 0.9482 0.3524
W 0.5000 0.5879 0.1556
W 0.5000 0.4121 0.8444
W 0.5000 0.4015 0.2730
W 0.5000 0.5985 0.7270

=====

(ii)
An optimized crystal structure of W, computed with GGA-PBE.

Total magnetization: 0.0 μB/cell
SG: No. 59

Unit cell a=2.6380 b=7.4059 c=10.5826 alpha=90.00 beta=90.00 gamma=90.00
Fractional coordinates of all 12 atoms:
W 0.0000 0.9902 0.6313
W 0.5000 0.0098 0.8687
W 0.5000 0.0098 0.1313
W 0.0000 0.9902 0.3687
W 0.0000 0.7191 0.0000
W 0.5000 0.2809 0.5000
W 0.0000 0.6674 0.7527
W 0.5000 0.3326 0.7473
W 0.5000 0.3326 0.2527
W 0.0000 0.6674 0.2473
W 0.0000 0.6380 0.5000
W 0.5000 0.3620 0.0000

=====

Of them, (ii) has the highest stability.

=====

(i)
An optimized crystal structure of W, computed with GGA-PBE.

Total magnetization: 0.0 μB/cell
SG: No. 166

Unit cell a=4.5965 b=4.5965 c=4.5965 alpha=38.07 beta=38.07 gamma=38.07
Fractional coordinates of all 2 atoms:
W 0.7500 0.7500 0.7500
W 0.2500 0.2500 0.2500

=====

(ii)
An optimized crystal structure of W, computed with GGA-PBE.

Total magnetization: 0.0 μB/cell
SG: No. 139

Unit cell a=2.9657 b=2.9657 c=2.9657 alpha=125.92 beta=125.92 gamma=80.01
Fractional coordinates of all 1 atoms:
W 0.0000 0.0000 0.0000

=====

(iii)
An optimized crystal structure of W, computed with GGA-PBE.

Total magnetization: 0.0 μB/cell
SG: No. 194

Unit cell a=2.7790 b=2.7790 c=4.9358 alpha=90.00 beta=90.00 gamma=120.00
Fractional coordinates of all 2 atoms:
W 0.6667 0.3333 0.7500
W 0.3333 0.6667 0.2500

=====

(iv)
An optimized crystal structure of W, computed with GGA-PBE.

Total magnetization: 0.0 μB/cell
SG: No. 128

Unit cell a=7.8692 b=7.8692 c=4.5098 alpha=90.00 beta=90.00 gamma=90.00
Fractional coordinates of all 16 atoms:
W 0.4691 0.8219 0.0000
W 0.9691 0.6781 0.5000
W 0.0309 0.3219 0.5000
W 0.5309 0.1781 0.0000
W 0.6781 0.0309 0.5000
W 0.1781 0.4691 0.0000
W 0.8219 0.5309 0.0000
W 0.3219 0.9691 0.5000
W 0.1986 0.1285 0.0000
W 0.6986 0.3715 0.5000
W 0.3014 0.6285 0.5000
W 0.8014 0.8715 0.0000
W 0.3715 0.3014 0.5000
W 0.8715 0.1986 0.0000
W 0.1285 0.8014 0.0000
W 0.6285 0.6986 0.5000

=====

Of them, (ii) has the highest stability.